No. 1
# Pu2Ga3Pd2 PBE-GGA relaxed
# total magnetization: 0.9 μB per formula unit
# formation energy: -0.346 eV per atom
data_Pu2Ga3Pd2
_chemical_formula_sum 'Pu4 Ga6 Pd4'
_cell_length_a 11.894
_cell_length_b 3.448
_cell_length_c 7.369
_cell_angle_alpha 90.00
_cell_angle_beta 125.11
_cell_angle_gamma 90.00
_space_group_name_H-M_alt 'C 1 2/m 1'
_space_group_IT_number 12
loop_
_space_group_symop_operation_xyz
'x,y,z'
'-x,-y,-z'
'-x,y,-z'
'x,-y,z'
'x+1/2,y+1/2,z'
'-x+1/2,-y+1/2,-z'
'-x+1/2,y+1/2,-z'
'x+1/2,-y+1/2,z'
loop_
_atom_site_label
_atom_site_type_symbol
_atom_site_fract_x
_atom_site_fract_y
_atom_site_fract_z
Pu1 Pu 0.186 0.000 0.378
Ga1 Ga 0.000 0.500 0.500
Ga2 Ga 0.080 0.500 0.947
Pd1 Pd 0.161 0.000 0.793

=====

No. 2
# Pu2Ga3Pd2 PBE-GGA relaxed
# total magnetization: 11.2 μB per formula unit
# formation energy: -0.432 eV per atom
data_Pu2Ga3Pd2
_chemical_formula_sum 'Pu4 Ga6 Pd4'
_cell_length_a 11.644
_cell_length_b 3.230
_cell_length_c 7.238
_cell_angle_alpha 90.00
_cell_angle_beta 95.21
_cell_angle_gamma 90.00
_space_group_name_H-M_alt 'C 1 2/m 1'
_space_group_IT_number 12
loop_
_space_group_symop_operation_xyz
'x,y,z'
'-x,-y,-z'
'-x,y,-z'
'x,-y,z'
'x+1/2,y+1/2,z'
'-x+1/2,-y+1/2,-z'
'-x+1/2,y+1/2,-z'
'x+1/2,-y+1/2,z'
loop_
_atom_site_label
_atom_site_type_symbol
_atom_site_fract_x
_atom_site_fract_y
_atom_site_fract_z
Pu1 Pu 0.152 0.000 0.318
Ga1 Ga 0.000 0.500 0.000
Ga2 Ga 0.078 0.500 0.646
Pd1 Pd 0.164 0.000 0.895

=====

No. 3
# Pu3Ga3Pd PBE-GGA relaxed
# total magnetization: 17.7 μB per formula unit
# formation energy: -0.326 eV per atom
data_Pu3Ga3Pd
_chemical_formula_sum 'Pu12 Ga12 Pd4'
_cell_length_a 4.287
_cell_length_b 10.839
_cell_length_c 13.344
_cell_angle_alpha 90.00
_cell_angle_beta 90.00
_cell_angle_gamma 90.00
_space_group_name_H-M_alt 'C m c m'
_space_group_IT_number 63
_space_group_name_Hall '-C 2c 2'
loop_
_atom_site_label
_atom_site_type_symbol
_atom_site_fract_x
_atom_site_fract_y
_atom_site_fract_z
Pu1 Pu 0.000 0.022 0.250
Pu2 Pu 0.000 0.276 0.600
Ga1 Ga 0.000 0.300 0.250
Ga2 Ga 0.000 0.438 0.092
Pd1 Pd 0.000 0.000 0.000

=====

No. 4
# PuGa2Pd PBE-GGA relaxed
# total magnetization: 5.6 μB per formula unit
# formation energy: -0.499 eV per atom
data_PuGa2Pd
_chemical_formula_sum 'Pu1 Ga2 Pd1'
_cell_length_a 3.195
_cell_length_b 3.195
_cell_length_c 7.194
_cell_angle_alpha 90.00
_cell_angle_beta 90.00
_cell_angle_gamma 90.00
_space_group_name_H-M_alt 'P 4/m m m'
_space_group_IT_number 123
_space_group_name_Hall '-P 4 2'
loop_
_atom_site_label
_atom_site_type_symbol
_atom_site_fract_x
_atom_site_fract_y
_atom_site_fract_z
Pu1 Pu 0.000 0.000 0.000
Ga1 Ga 0.500 0.500 0.297
Pd1 Pd 0.000 0.000 0.500

=====

No. 5
# PuGa4Pd4 PBE-GGA relaxed
# total magnetization: 5.7 μB per formula unit
# formation energy: -0.525 eV per atom
data_PuGa4Pd4
_chemical_formula_sum 'Pu2 Ga8 Pd8'
_cell_length_a 6.113
_cell_length_b 6.113
_cell_length_c 8.657
_cell_angle_alpha 90.00
_cell_angle_beta 90.00
_cell_angle_gamma 90.00
_space_group_name_H-M_alt 'P 42/n m c'
_space_group_IT_number 137
loop_
_space_group_symop_operation_xyz
'x,y,z'
'-x,-y,-z'
'-y+1/2,x,z+1/2'
'y+1/2,-x,-z+1/2'
'-x+1/2,-y+1/2,z'
'x+1/2,y+1/2,-z'
'y,-x+1/2,z+1/2'
'-y,x+1/2,-z+1/2'
'x+1/2,-y,-z'
'-x+1/2,y,z'
'-y,-x,-z+1/2'
'y,x,z+1/2'
'-x,y+1/2,-z'
'x,-y+1/2,z'
'y+1/2,x+1/2,-z+1/2'
'-y+1/2,-x+1/2,z+1/2'
loop_
_atom_site_label
_atom_site_type_symbol
_atom_site_fract_x
_atom_site_fract_y
_atom_site_fract_z
Pu1 Pu 0.250 0.750 0.250
Ga1 Ga 0.040 0.250 0.062
Pd1 Pd 0.021 0.250 0.358

=====

No. 6
# Pu2Ga3Pd5 PBE-GGA relaxed
# total magnetization: 11.1 μB per formula unit
# formation energy: -0.580 eV per atom
data_Pu2Ga3Pd5
_chemical_formula_sum 'Pu8 Ga12 Pd20'
_cell_length_a 11.273
_cell_length_b 11.515
_cell_length_c 5.802
_cell_angle_alpha 90.00
_cell_angle_beta 90.00
_cell_angle_gamma 90.00
_space_group_name_H-M_alt 'I b a m'
_space_group_IT_number 72
_space_group_name_Hall '-I 2 2c'
loop_
_atom_site_label
_atom_site_type_symbol
_atom_site_fract_x
_atom_site_fract_y
_atom_site_fract_z
Pu1 Pu 0.134 0.231 0.000
Ga1 Ga 0.000 0.500 0.250
Ga2 Ga 0.135 0.120 0.500
Pd1 Pd 0.000 0.000 0.250
Pd2 Pd 0.099 0.333 0.500
Pd3 Pd 0.230 0.500 0.250